# 1
Below is a relaxed LiTb2InSe5 crystal, with properties calculated at the PBE-GGA level.

Calculated values
The value obtained for the total energy is -0.17726 hartree per atom. The uncorrected formation energy is -1.342 eV/atom.

Cell: 4.0458 17.7358 11.8896 Å, 90.00 90.00 90.00°
With the nearest neighbours (Å) after each atom.
Space group Cmc2_1 (No. 36)
Asymmetric unit:
Li 0.0000 0.2221 0.0000 (multiplicity 4)  3 Se 2.48-2.68
Tb 0.0000 0.1246 0.6624 (multiplicity 4)  8 Se 2.98-3.18
Tb 0.0000 0.1262 0.2871 (multiplicity 4)  8 Se 2.96-3.14
In 0.0000 0.4168 0.4578 (multiplicity 4)  4 Se 2.58-2.64
Se 0.0000 0.0358 0.0723 (multiplicity 4)  2 In 2.58
Se 0.0000 0.2983 0.6448 (multiplicity 4)  2 Li 2.68, 2 Tb 2.96
Se 0.0000 0.3024 0.3165 (multiplicity 4)  1 In 2.63
Se 0.0000 0.3615 0.9799 (multiplicity 4)  1 Li 2.48
Se 0.0000 0.4939 0.2680 (multiplicity 4)  1 In 2.64

=====

# 2
Below is a relaxed YHo3Er4Se8 crystal, with properties calculated at the PBE-GGA level.

Calculated values
The value obtained for the total energy is -0.21511 hartree per atom. The uncorrected formation energy is -1.708 eV/atom.

Cell: 8.0982 8.0982 19.8602 Å, 90.00 90.00 120.00°
With the nearest neighbours (Å) after each atom.
Space group R-3m (No. 166, hexagonal axes)
Asymmetric unit:
Y 0.0000 0.0000 0.0000 (multiplicity 3)  6 Se 2.88
Ho 0.0000 0.5000 0.0000 (multiplicity 9)  6 Se 2.87
Er 0.0000 0.0000 0.5000 (multiplicity 3)  6 Se 2.85
Er 0.0000 0.5000 0.5000 (multiplicity 9)  6 Se 2.86
Se 0.0000 0.0000 0.2494 (multiplicity 6)  3 Er 2.86, 3 Ho 2.87
Se 0.0013 0.5007 0.2490 (multiplicity 18)  3 Er 2.85-2.86, 2 Ho 2.87, 1 Y 2.88

=====

# 3
Below is a relaxed Sm3Al9Zn2 crystal, with properties calculated at the PBE-GGA level.

Calculated values
The value obtained for the total energy is -0.14646 hartree per atom. As for the formation energy: -0.386 eV/atom.

Cell: 4.3249 10.1433 12.5901 Å, 90.00 90.00 90.00°
With the nearest neighbours (Å) after each atom.
Space group Immm (No. 71)
Asymmetric unit:
Sm 0.0000 0.0000 0.0000 (multiplicity 2)  12 Al 3.24-3.29, 4 Zn 3.63
Sm 0.0000 0.0000 0.3171 (multiplicity 4)  2 Zn 3.16, 10 Al 3.16-3.20
Al 0.0000 0.2766 0.1361 (multiplicity 8)  4 Al 2.65-2.84, 2 Zn 2.76
Al 0.0000 0.3714 0.3387 (multiplicity 8)  1 Zn 2.59, 4 Al 2.61-2.73
Al 0.0000 0.5000 0.0000 (multiplicity 2)  4 Al 2.84, 4 Zn 3.06, 4 Sm 3.16
Zn 0.0000 0.2130 0.5000 (multiplicity 4)  6 Al 2.59-2.76

=====

# 4
Below is a relaxed Pr5Mg4Zn crystal, with properties calculated at the PBE-GGA level.

Calculated values
The value obtained for the total energy is -0.12147 hartree per atom. As for the formation energy: -0.150 eV/atom.

Cell: 3.8497 3.8497 19.5862 Å, 90.00 90.00 90.00°
With the nearest neighbours (Å) after each atom.
Space group P4/mmm (No. 123)
Asymmetric unit:
Pr 0.0000 0.0000 0.0000 (multiplicity 1)  8 Mg 3.38
Pr 0.0000 0.0000 0.2035 (multiplicity 2)  8 Mg 3.37
Pr 0.0000 0.0000 0.4106 (multiplicity 2)  4 Zn 3.24, 4 Mg 3.42, 1 Pr 3.50
Mg 0.5000 0.5000 0.1019 (multiplicity 2)  8 Pr 3.37-3.38
Mg 0.5000 0.5000 0.3052 (multiplicity 2)  8 Pr 3.37-3.42
Zn 0.5000 0.5000 0.5000 (multiplicity 1)  8 Pr 3.24

=====

# 5
Below is a relaxed Sn6Te8Pb crystal, with properties calculated at the PBE-GGA level.

Calculated values
The value obtained for the total energy is -0.13649 hartree per atom. The uncorrected formation energy is -0.190 eV/atom.

Cell: 11.1103 11.1103 4.6876 Å, 90.00 90.00 120.00°
With the nearest neighbours (Å) after each atom.
Space group P-3 (No. 147)
Asymmetric unit:
Sn 0.1277 0.6618 0.2671 (multiplicity 6)  5 Te 2.98-3.33
Te 0.0296 0.2977 0.2466 (multiplicity 6)  3 Sn 2.98-3.14
Te 0.3333 0.6667 0.7456 (multiplicity 2)  6 Sn 3.18-3.33
Pb 0.0000 0.0000 0.5000 (multiplicity 1)  6 Te 3.37

=====

# 6
Below is a relaxed ZrPaCu crystal, with properties calculated at the PBE-GGA level.

Calculated values
The value obtained for the total energy is -0.27054 hartree per atom. As for the formation energy: 0.018 eV/atom. As for the offset from the most stable computed form: 0.060 eV/atom.

Cell: 3.0665 3.0665 13.0213 Å, 90.00 90.00 90.00°
With the nearest neighbours (Å) after each atom.
Space group I4mm (No. 107)
Asymmetric unit:
Zr 0.0000 0.0000 0.0000 (multiplicity 2)  4 Cu 2.87, 4 Zr 3.07
Pa 0.0000 0.0000 0.6919 (multiplicity 2)  4 Cu 3.04, 4 Pa 3.07, 4 Zr 3.31
Cu 0.0000 0.0000 0.3553 (multiplicity 2)  4 Zr 2.87, 4 Pa 3.04, 4 Cu 3.07

=====

# 7
Below is a relaxed NpZnIn2 crystal, with properties calculated at the PBE-GGA level.

Calculated values
The value obtained for the total energy is -0.17561 hartree per atom. As for the formation energy: 0.144 eV/atom.

Cell: 3.4298 3.4298 7.8060 Å, 90.00 90.00 90.00°
With the nearest neighbours (Å) after each atom.
Space group P4/mmm (No. 123)
Asymmetric unit:
Np 0.0000 0.0000 0.0000 (multiplicity 1)  8 In 3.31, 4 Np 3.43
Zn 0.0000 0.0000 0.5000 (multiplicity 1)  8 In 2.93
In 0.5000 0.5000 0.2892 (multiplicity 2)  4 Zn 2.93

=====

# 8
Below is a relaxed TbDy3Mg4 crystal, with properties calculated at the PBE-GGA level.

Calculated values
The value obtained for the total energy is -0.11701 hartree per atom. As for the formation energy: -0.082 eV/atom.

Cell: 3.7899 3.7899 15.1628 Å, 90.00 90.00 90.00°
With the nearest neighbours (Å) after each atom.
Space group P4/mmm (No. 123)
Asymmetric unit:
Tb 0.0000 0.0000 0.0000 (multiplicity 1)  8 Mg 3.29
Dy 0.0000 0.0000 0.2505 (multiplicity 2)  8 Mg 3.28
Dy 0.0000 0.0000 0.5000 (multiplicity 1)  8 Mg 3.28
Mg 0.5000 0.5000 0.1258 (multiplicity 2)  4 Dy 3.28, 4 Tb 3.29
Mg 0.5000 0.5000 0.3752 (multiplicity 2)  8 Dy 3.28

=====

Copy entry 4 word for word.
Below is a relaxed Pr5Mg4Zn crystal, with properties calculated at the PBE-GGA level.

Calculated values
The value obtained for the total energy is -0.12147 hartree per atom. As for the formation energy: -0.150 eV/atom.

Cell: 3.8497 3.8497 19.5862 Å, 90.00 90.00 90.00°
With the nearest neighbours (Å) after each atom.
Space group P4/mmm (No. 123)
Asymmetric unit:
Pr 0.0000 0.0000 0.0000 (multiplicity 1)  8 Mg 3.38
Pr 0.0000 0.0000 0.2035 (multiplicity 2)  8 Mg 3.37
Pr 0.0000 0.0000 0.4106 (multiplicity 2)  4 Zn 3.24, 4 Mg 3.42, 1 Pr 3.50
Mg 0.5000 0.5000 0.1019 (multiplicity 2)  8 Pr 3.37-3.38
Mg 0.5000 0.5000 0.3052 (multiplicity 2)  8 Pr 3.37-3.42
Zn 0.5000 0.5000 0.5000 (multiplicity 1)  8 Pr 3.24